[1]
{
  "formula": "TlCdGa2Rh",
  "functional": "PBE",
  "state": "relaxed",
  "dft_energy_ev_per_atom": -3.496,
  "delta_e_f_ev_per_atom": -0.16,
  "space_group": "No. 123",
  "dos_ef_per_ev_cell": 1.6,
  "vol_a3_per_cell": 122,
  "total_magnetization_mub_per_atom": 0.000,
  "lattice_angstrom": [[-1.6132, -3.7652, 2.4924], [-2.2649, -1.6149, -3.9056], [4.3234, -2.7574, -1.3671]],
  "species": ["Tl", "Rh", "Ga", "Ga", "Cd"],
  "fractional_positions": [[0.5000, 0.5000, 0.5000], [0.0000, 0.0000, 0.0000], [0.0000, 0.5000, 0.0000], [0.5000, 0.0000, 0.0000], [0.0000, 0.0000, 0.5000]]
}

[2]
{
  "formula": "TlCd2GaRh",
  "functional": "PBE",
  "state": "relaxed",
  "dft_energy_ev_per_atom": -2.958,
  "delta_e_f_ev_per_atom": -0.04,
  "space_group": "No. 123",
  "dos_ef_per_ev_cell": 2.9,
  "vol_a3_per_cell": 131,
  "total_magnetization_mub_per_atom": 0.000,
  "lattice_angstrom": [[5.2541, 0.0000, 0.0000], [0.0000, 5.2541, 0.0000], [0.0000, 0.0000, 4.7634]],
  "species": ["Tl", "Rh", "Ga", "Cd", "Cd"],
  "fractional_positions": [[0.5000, 0.5000, 0.5000], [0.0000, 0.0000, 0.0000], [0.0000, 0.0000, 0.5000], [0.0000, 0.5000, 0.0000], [0.5000, 0.0000, 0.0000]]
}

[3]
{
  "formula": "Tm2CdGa2Rh5",
  "functional": "PBE",
  "state": "relaxed",
  "dft_energy_ev_per_atom": -5.986,
  "delta_e_f_ev_per_atom": -0.72,
  "space_group": "No. 127",
  "dos_ef_per_ev_cell": 11.5,
  "vol_a3_per_cell": 343,
  "total_magnetization_mub_per_atom": 0.000,
  "lattice_angstrom": [[3.5836, 0.0000, 0.0000], [0.0000, 9.7867, 0.0000], [0.0000, 0.0000, 9.7867]],
  "species": ["Tm", "Tm", "Tm", "Tm", "Cd", "Cd", "Ga", "Ga", "Ga", "Ga", "Rh", "Rh", "Rh", "Rh", "Rh", "Rh", "Rh", "Rh", "Rh", "Rh"],
  "fractional_positions": [[0.0000, 0.6741, 0.1741], [0.0000, 0.3259, 0.8259], [0.0000, 0.1741, 0.3259], [0.0000, 0.8259, 0.6741], [0.0000, 0.0000, 0.0000], [0.0000, 0.5000, 0.5000], [0.0000, 0.1244, 0.6244], [0.0000, 0.8756, 0.3756], [0.0000, 0.6244, 0.8756], [0.0000, 0.3756, 0.1244], [0.5000, 0.2081, 0.0702], [0.5000, 0.7919, 0.9298], [0.5000, 0.0702, 0.7919], [0.5000, 0.7081, 0.4298], [0.5000, 0.9298, 0.2081], [0.5000, 0.2919, 0.5702], [0.5000, 0.5702, 0.7081], [0.5000, 0.4298, 0.2919], [0.5000, 0.5000, 0.0000], [0.5000, 0.0000, 0.5000]]
}